Entry 1:
! Sr2Li4Ca5 PBE relaxed; values from VASP
&SYSTEM
  ibrav = 0, nat = 11, ntyp = 3
/
ATOMIC_SPECIES
Sr 87.62 Sr.upf
Ca 40.08 Ca.upf
Li 6.94 Li.upf
ATOMIC_POSITIONS crystal
Sr 0.6985 0.3023 0.3008
Ca 0.7527 0.1796 0.8199
Ca 0.0000 0.5000 0.5000
Li 0.7528 0.5916 0.9028
Ca 0.7522 0.8204 0.1801
Li 0.2465 0.0953 0.4116
Li 0.2472 0.4084 0.0972
Ca 0.2473 0.8204 0.1801
Sr 0.3015 0.6977 0.6992
Ca 0.2478 0.1796 0.8199
Li 0.7535 0.9047 0.5884
CELL_PARAMETERS angstrom
7.1591 0.0000 0.0000
3.5795 7.5795 -0.5032
3.5795 1.1750 7.5301
! * formation enthalpy at 0 K: 0.8 eV/f.u.



Entry 2:
! ZrCuW2 PBE relaxed; values from VASP
&SYSTEM
  ibrav = 0, nat = 4, ntyp = 3
/
ATOMIC_SPECIES
W 183.84 W.upf
Cu 63.55 Cu.upf
Zr 91.22 Zr.upf
ATOMIC_POSITIONS crystal
W 0.2550 0.2550 0.2226
Cu 0.7427 0.7427 0.7453
Zr 0.4895 0.4895 0.5226
W 0.0128 0.0128 0.0095
CELL_PARAMETERS angstrom
4.9025 0.0008 0.0108
4.1159 2.6635 0.0108
0.6069 0.1793 5.1671
! * formation enthalpy at 0 K: 1.5 eV/f.u.



Entry 3:
! LaDy4Ho2 PBE relaxed; values from VASP
&SYSTEM
  ibrav = 0, nat = 14, ntyp = 3
/
ATOMIC_SPECIES
Dy 162.50 Dy.upf
Ho 164.93 Ho.upf
La 138.91 La.upf
ATOMIC_POSITIONS crystal
Dy 0.8618 0.2500 0.5756
Dy 0.6399 0.4908 0.2887
Dy 0.3601 0.9908 0.7113
Ho 0.6105 0.7500 0.0064
Dy 0.3601 0.5092 0.7113
Ho 0.7014 0.7500 0.5492
La 0.8179 0.2500 0.8633
Ho 0.3895 0.2500 0.9936
Dy 0.9830 0.7500 0.8345
Dy 0.0170 0.2500 0.1655
Dy 0.6399 0.0092 0.2887
Ho 0.2986 0.2500 0.4508
Dy 0.1382 0.7500 0.4244
La 0.1821 0.7500 0.1367
CELL_PARAMETERS angstrom
-1.3208 5.3541 -2.6706
-1.7450 -3.1702 -5.4925
-9.7715 -3.6570 5.2152
! * formation enthalpy at 0 K: 0.9 eV/f.u.



Entry 4:
! AgP2Br8 PBE relaxed; values from VASP
&SYSTEM
  ibrav = 0, nat = 11, ntyp = 3
/
ATOMIC_SPECIES
Br 79.90 Br.upf
P 30.97 P.upf
Ag 107.87 Ag.upf
ATOMIC_POSITIONS crystal
Br 0.7367 0.9656 0.6574
Br 0.2633 0.3426 0.0344
Br 0.7367 0.6574 0.9656
Br 0.7646 0.2211 0.2211
Br 0.2354 0.7789 0.7789
P 0.3883 0.2404 0.2404
Br 0.2766 0.4616 0.4616
P 0.6117 0.7596 0.7596
Br 0.7234 0.5384 0.5384
Br 0.2633 0.0344 0.3426
Ag 0.0000 0.0000 0.0000
CELL_PARAMETERS angstrom
-2.1138 -8.1561 -0.2965
5.3933 -3.7903 4.4536
-5.7089 -0.9495 5.4586
! * formation energy (no corrections): -239 meV/atom



no.,calculated density (kg/m³),V (A^3/atom)
1,1623,37.53
2,12865,16.86
3,8254,32.15
4,2741,44.56